Entry 1:
First-principles (PBE) data for a relaxed BaZn2GeS crystal, as listed in Alexandria via LeMat-Bulk.

ΔE_f (raw) (meV per atom): -322
Calculated volume (Å³/atom): 29.75
Space group: P4/mmm, No. 123

Lattice parameters (Å, degrees): 4.6318 4.6318 6.9341 90.00 90.00 90.00
With the nearest neighbours (Å) after each atom.
Sites, in units of the cell vectors:
Ba  0.0000  0.0000  0.0000  4 S 3.28, 2 Ge 3.47
Zn  0.0000  0.5000  0.5000  2 Ge 2.32
Zn  0.5000  0.0000  0.5000  2 Ge 2.32
Ge  0.0000  0.0000  0.5000  4 Zn 2.32
S  0.5000  0.5000  0.0000  4 Ba 3.28


Entry 2:
First-principles (PBE) data for a relaxed Ho2Zn3Ga4Ag crystal, as listed in Alexandria via LeMat-Bulk.

Energy relative to the elements (eV/atom): -0.380
Calculated volume (Å³/atom): 18.72
Space group: P-4m2, No. 115

Lattice parameters (Å, degrees): 4.1778 4.1778 10.7251 90.00 90.00 90.00
With the nearest neighbours (Å) after each atom.
Sites, in units of the cell vectors:
Ho  0.0000  0.5000  0.2434  6 Zn 3.17-3.46, 8 Ga 3.20-3.34, 2 Ag 3.46
Ho  0.5000  0.0000  0.7566  6 Zn 3.17-3.46, 8 Ga 3.20-3.34, 2 Ag 3.46
Zn  0.0000  0.5000  0.8641  5 Ga 2.39-2.55
Zn  0.5000  0.0000  0.1359  5 Ga 2.39-2.55
Zn  0.5000  0.5000  0.5000  4 Ga 2.58
Ga  0.0000  0.0000  0.0000  4 Zn 2.55
Ga  0.0000  0.5000  0.6415  3 Zn 2.39-2.58, 2 Ag 2.58
Ga  0.5000  0.0000  0.3585  3 Zn 2.39-2.58, 2 Ag 2.58
Ga  0.5000  0.5000  0.0000  4 Zn 2.55
Ag  0.0000  0.0000  0.5000  4 Ga 2.58


Entry 3:
First-principles (PBE) data for a relaxed Nd6Ni2AgBr3 crystal, as listed in Alexandria via LeMat-Bulk.

ΔE_f (raw) (meV per atom): -733
Calculated volume (Å³/atom): 28.81
Space group: C2/m, No. 12

Lattice parameters (Å, degrees): 9.9388 9.9388 9.1264 108.87 108.87 23.97
With the nearest neighbours (Å) after each atom.
Sites, in units of the cell vectors:
Nd  0.0187  0.0187  0.2528  1 Ni 2.73, 2 Ag 3.03
Nd  0.3190  0.3190  0.4443  3 Ni 2.79-2.82
Nd  0.3374  0.3374  0.8761  2 Ni 2.82, 1 Ag 2.99
Nd  0.6626  0.6626  0.1239  2 Ni 2.82, 1 Ag 2.99
Nd  0.6810  0.6810  0.5557  3 Ni 2.79-2.82
Nd  0.9813  0.9813  0.7472  1 Ni 2.73, 2 Ag 3.03
Ni  0.1672  0.1672  0.3366  6 Nd 2.73-2.82
Ni  0.8328  0.8328  0.6634  6 Nd 2.73-2.82
Ag  0.5000  0.5000  0.0000  6 Nd 2.99-3.03
Br  0.1648  0.1648  0.8338  6 Nd 3.25-3.39
Br  0.5000  0.5000  0.5000  6 Nd 3.17-3.39
Br  0.8352  0.8352  0.1662  6 Nd 3.25-3.39


Entry 4:
First-principles (PBE) data for a relaxed NiAg2Pb crystal, as listed in Alexandria via LeMat-Bulk.

Energy relative to the elements (eV/atom): 0.268
Calculated volume (Å³/atom): 19.17
Space group: P2/m, No. 10

Lattice parameters (Å, degrees): 3.2377 4.5938 5.3900 90.00 106.96 90.00
With the nearest neighbours (Å) after each atom.
Sites, in units of the cell vectors:
Ni  0.0000  0.0000  0.0000  2 Pb 2.69, 4 Ag 2.71
Ag  0.3759  0.5000  0.2214  2 Ni 2.71, 3 Ag 2.73-2.87
Ag  0.6241  0.5000  0.7786  2 Ni 2.71, 3 Ag 2.73-2.87
Pb  0.0000  0.0000  0.5000  2 Ni 2.69


Entry 5:
First-principles (PBE) data for a relaxed PmOs2W crystal, as listed in Alexandria via LeMat-Bulk.

Energy relative to the elements (eV/atom): 0.113
Calculated volume (Å³/atom): 18.30
Space group: P4/mmm, No. 123

Lattice parameters (Å, degrees): 3.1207 3.1207 7.5173 90.00 90.00 90.00
With the nearest neighbours (Å) after each atom.
Sites, in units of the cell vectors:
Pm  0.0000  0.0000  0.0000  4 Pm 3.12, 8 Os 3.16
Os  0.5000  0.5000  0.3001  4 W 2.67
Os  0.5000  0.5000  0.6999  4 W 2.67
W  0.0000  0.0000  0.5000  8 Os 2.67


Entry 6:
First-principles (PBE) data for a relaxed BaCa2Pa crystal, as listed in Alexandria via LeMat-Bulk.

Energy relative to the elements (eV/atom): 0.585
Calculated volume (Å³/atom): 36.36
Space group: R-3m, No. 166

Lattice parameters (Å, degrees): 3.4897 3.4897 41.3755 90.00 90.00 120.00
With the nearest neighbours (Å) after each atom.
Sites, in units of the cell vectors:
Ba  0.0000  0.0000  0.0000  6 Ba 3.49
Ba  0.3333  0.6667  0.6667  6 Ba 3.49
Ba  0.6667  0.3333  0.3333  6 Ba 3.49
Ca  0.0000  0.0000  0.4185  1 Pa 3.37, 6 Ca 3.49
Ca  0.0000  0.0000  0.5815  1 Pa 3.37, 6 Ca 3.49
Ca  0.3333  0.6667  0.0852  1 Pa 3.37, 6 Ca 3.49
Ca  0.3333  0.6667  0.2481  1 Pa 3.37, 6 Ca 3.49
Ca  0.6667  0.3333  0.7519  1 Pa 3.37, 6 Ca 3.49
Ca  0.6667  0.3333  0.9148  1 Pa 3.37, 6 Ca 3.49
Pa  0.0000  0.0000  0.5000  2 Ca 3.37, 6 Pa 3.49
Pa  0.3333  0.6667  0.1667  2 Ca 3.37, 6 Pa 3.49
Pa  0.6667  0.3333  0.8333  2 Ca 3.37, 6 Pa 3.49


Entry 7:
First-principles (PBE) data for a relaxed Sm4YEr crystal, as listed in Alexandria via LeMat-Bulk.

Relative energy among the computed polymorphs (eV per atom): 0.000
Energy relative to the elements (eV/atom): 0.016
Calculated volume (Å³/atom): 32.95
Space group: P-1, No. 2

Lattice parameters (Å, degrees): 3.5954 6.2276 9.5244 77.41 79.22 73.45
With the nearest neighbours (Å) after each atom.
Sites, in units of the cell vectors:
Sm  0.1658  0.0022  0.1655  7 Sm 3.58-3.61, 3 Er 3.58-3.61, 2 Y 3.61
Sm  0.1662  0.4986  0.6679  2 Er 3.59, 7 Sm 3.59-3.62, 3 Y 3.60-3.61
Sm  0.8338  0.5014  0.3321  2 Er 3.59, 7 Sm 3.59-3.62, 3 Y 3.60-3.61
Sm  0.8342  0.9978  0.8345  7 Sm 3.58-3.61, 3 Er 3.58-3.61, 2 Y 3.61
Y  0.5000  0.0000  0.5000  2 Y 3.60, 10 Sm 3.60-3.61
Er  0.5000  0.5000  0.0000  10 Sm 3.58-3.61, 2 Er 3.60


Entry 8:
First-principles (PBE) data for a relaxed YZrAs2 crystal, as listed in Alexandria via LeMat-Bulk.

Relative energy among the computed polymorphs (eV per atom): 0.419
Energy relative to the elements (eV/atom): -0.907
Calculated volume (Å³/atom): 21.50
Space group: Pmmm, No. 47

Lattice parameters (Å, degrees): 3.6980 4.2565 5.4637 90.00 90.00 90.00
With the nearest neighbours (Å) after each atom.
Sites, in units of the cell vectors:
Y  0.0000  0.0000  0.0000  4 As 2.82
Zr  0.0000  0.5000  0.5000  4 As 2.82
As  0.5000  0.0000  0.5000  4 Zr 2.82
As  0.5000  0.5000  0.0000  4 Y 2.82


Entry 9:
First-principles (PBE) data for a relaxed AcSn2Ru crystal, as listed in Alexandria via LeMat-Bulk.

Relative energy among the computed polymorphs (eV per atom): 0.084
Energy relative to the elements (eV/atom): -0.397
Calculated volume (Å³/atom): 26.22
Space group: R-3m, No. 166

Lattice parameters (Å, degrees): 4.5609 4.5609 17.4655 90.00 90.00 120.00
With the nearest neighbours (Å) after each atom.
Sites, in units of the cell vectors:
Ac  0.0000  0.0000  0.0000  8 Sn 3.35-3.74
Ac  0.3333  0.6667  0.6667  8 Sn 3.35-3.74
Ac  0.6667  0.3333  0.3333  8 Sn 3.35-3.74
Sn  0.0000  0.0000  0.2144  3 Ru 2.76
Sn  0.0000  0.0000  0.7856  3 Ru 2.76
Sn  0.3333  0.6667  0.4523  3 Ru 2.76
Sn  0.3333  0.6667  0.8810  3 Ru 2.76
Sn  0.6667  0.3333  0.1190  3 Ru 2.76
Sn  0.6667  0.3333  0.5477  3 Ru 2.76
Ru  0.0000  0.0000  0.5000  6 Sn 2.76
Ru  0.3333  0.6667  0.1667  6 Sn 2.76
Ru  0.6667  0.3333  0.8333  6 Sn 2.76


Entry 10:
First-principles (PBE) data for a relaxed Pm8PdRu3Br4 crystal, as listed in Alexandria via LeMat-Bulk.

ΔE_f (raw) (meV per atom): -864
Calculated volume (Å³/atom): 28.21
Space group: R-3m, No. 166

Lattice parameters (Å, degrees): 9.1474 9.1474 9.1474 52.92 52.92 52.92
With the nearest neighbours (Å) after each atom.
Sites, in units of the cell vectors:
Pm  0.2199  0.7388  0.7388  2 Ru 2.78, 1 Pd 2.89
Pm  0.2332  0.2332  0.2332  3 Ru 2.83
Pm  0.2612  0.2612  0.7801  2 Ru 2.78, 1 Pd 2.89
Pm  0.2612  0.7801  0.2612  2 Ru 2.78, 1 Pd 2.89
Pm  0.7388  0.2199  0.7388  2 Ru 2.78, 1 Pd 2.89
Pm  0.7388  0.7388  0.2199  2 Ru 2.78, 1 Pd 2.89
Pm  0.7668  0.7668  0.7668  3 Ru 2.83
Pm  0.7801  0.2612  0.2612  2 Ru 2.78, 1 Pd 2.89
Pd  0.5000  0.5000  0.5000  6 Pm 2.89
Ru  0.0000  0.0000  0.5000  6 Pm 2.78-2.83
Ru  0.0000  0.5000  0.0000  6 Pm 2.78-2.83
Ru  0.5000  0.0000  0.0000  6 Pm 2.78-2.83
Br  0.0000  0.0000  0.0000  6 Pm 3.28
Br  0.0000  0.5000  0.5000  6 Pm 3.33-3.37
Br  0.5000  0.0000  0.5000  6 Pm 3.33-3.37
Br  0.5000  0.5000  0.0000  6 Pm 3.33-3.37


Entry 11:
First-principles (PBE) data for a relaxed CePmPdPt crystal, as listed in Alexandria via LeMat-Bulk.

Relative energy among the computed polymorphs (eV per atom): 0.089
Energy relative to the elements (eV/atom): -0.855
Calculated volume (Å³/atom): 23.01
Space group: F-43m, No. 216

Lattice parameters (Å, degrees): 7.1672 7.1672 7.1672 90.00 90.00 90.00
With the nearest neighbours (Å) after each atom.
Sites, in units of the cell vectors:
Ce  0.0000  0.0000  0.0000  4 Pd 3.10, 4 Pt 3.10
Ce  0.0000  0.5000  0.5000  4 Pd 3.10, 4 Pt 3.10
Ce  0.5000  0.0000  0.5000  4 Pd 3.10, 4 Pt 3.10
Ce  0.5000  0.5000  0.0000  4 Pd 3.10, 4 Pt 3.10
Pm  0.0000  0.0000  0.5000  4 Pd 3.10, 4 Pt 3.10
Pm  0.0000  0.5000  0.0000  4 Pd 3.10, 4 Pt 3.10
Pm  0.5000  0.0000  0.0000  4 Pd 3.10, 4 Pt 3.10
Pm  0.5000  0.5000  0.5000  4 Pd 3.10, 4 Pt 3.10
Pd  0.2500  0.2500  0.2500  4 Ce 3.10, 4 Pm 3.10
Pd  0.2500  0.7500  0.7500  4 Ce 3.10, 4 Pm 3.10
Pd  0.7500  0.2500  0.7500  4 Ce 3.10, 4 Pm 3.10
Pd  0.7500  0.7500  0.2500  4 Ce 3.10, 4 Pm 3.10
Pt  0.2500  0.2500  0.7500  4 Ce 3.10, 4 Pm 3.10
Pt  0.2500  0.7500  0.2500  4 Ce 3.10, 4 Pm 3.10
Pt  0.7500  0.2500  0.2500  4 Ce 3.10, 4 Pm 3.10
Pt  0.7500  0.7500  0.7500  4 Ce 3.10, 4 Pm 3.10


Entry 12:
First-principles (PBE) data for a relaxed Tl3RhI6 crystal, as listed in Alexandria via LeMat-Bulk.

ΔE_f (raw) (meV per atom): -436
Calculated volume (Å³/atom): 40.42
Space group: C2/m, No. 12

Lattice parameters (Å, degrees): 7.9211 7.9211 8.4783 115.57 115.57 61.46
With the nearest neighbours (Å) after each atom.
Sites, in units of the cell vectors:
Tl  0.0000  0.0000  0.0000  6 I 3.39-3.44
Tl  0.2330  0.2330  0.7201  5 I 3.53-3.68
Tl  0.7670  0.7670  0.2799  5 I 3.53-3.68
Rh  0.5000  0.5000  0.5000  6 I 2.70-2.73
I  0.1974  0.6657  0.6503  1 Rh 2.70
I  0.2906  0.2906  0.1932  1 Rh 2.73
I  0.3343  0.8026  0.3497  1 Rh 2.70
I  0.6657  0.1974  0.6503  1 Rh 2.70
I  0.7094  0.7094  0.8068  1 Rh 2.73
I  0.8026  0.3343  0.3497  1 Rh 2.70


Question: Which of these has the lowest calculated volume?
Answer: PmOs2W


What did the first record say?
First-principles (PBE) data for a relaxed BaZn2GeS crystal, as listed in Alexandria via LeMat-Bulk.

ΔE_f (raw) (meV per atom): -322
Calculated volume (Å³/atom): 29.75
Space group: P4/mmm, No. 123

Lattice parameters (Å, degrees): 4.6318 4.6318 6.9341 90.00 90.00 90.00
With the nearest neighbours (Å) after each atom.
Sites, in units of the cell vectors:
Ba  0.0000  0.0000  0.0000  4 S 3.28, 2 Ge 3.47
Zn  0.0000  0.5000  0.5000  2 Ge 2.32
Zn  0.5000  0.0000  0.5000  2 Ge 2.32
Ge  0.0000  0.0000  0.5000  4 Zn 2.32
S  0.5000  0.5000  0.0000  4 Ba 3.28


Question: calculated volume of number 8 (YZrAs2)?
Answer: 21.50 Å³/atom